This record from the Alexandria database describes Ca14Si19 at its PBEsol-relaxed geometry. The functional is meta-GGA SCAN. Values from VASP.

```
&SYSTEM
  ibrav = 0, nat = 66, ntyp = 2
/
ATOMIC_SPECIES
Ca 40.08 Ca.upf
Si 28.09 Si.upf
CELL_PARAMETERS angstrom
4.282 2.472 22.669
-4.282 2.472 22.669
0.000 -4.945 22.669
ATOMIC_POSITIONS crystal
Ca 0.000 0.000 0.000
Ca 0.001 0.250 0.499
Ca 0.054 0.054 0.054
Ca 0.057 0.809 0.573
Ca 0.073 0.309 0.557
Ca 0.110 0.110 0.110
Ca 0.191 0.427 0.943
Ca 0.250 0.499 0.001
Ca 0.309 0.557 0.073
Ca 0.390 0.390 0.390
Ca 0.427 0.943 0.191
Ca 0.443 0.927 0.691
Ca 0.446 0.446 0.446
Ca 0.499 0.001 0.250
Ca 0.500 0.500 0.500
Ca 0.501 0.999 0.750
Ca 0.554 0.554 0.554
Ca 0.557 0.073 0.309
Ca 0.573 0.057 0.809
Ca 0.610 0.610 0.610
Ca 0.691 0.443 0.927
Ca 0.750 0.501 0.999
Ca 0.809 0.573 0.057
Ca 0.890 0.890 0.890
Ca 0.927 0.691 0.443
Ca 0.943 0.191 0.427
Ca 0.946 0.946 0.946
Ca 0.999 0.750 0.501
Si 0.007 0.558 0.276
Si 0.058 0.507 0.776
Si 0.119 0.283 0.669
Si 0.153 0.153 0.153
Si 0.166 0.334 0.750
Si 0.169 0.783 0.619
Si 0.217 0.381 0.831
Si 0.219 0.219 0.219
Si 0.224 0.942 0.493
Si 0.250 0.834 0.666
Si 0.276 0.007 0.558
Si 0.281 0.281 0.281
Si 0.283 0.669 0.119
Si 0.331 0.881 0.717
Si 0.334 0.750 0.166
Si 0.347 0.347 0.347
Si 0.381 0.831 0.217
Si 0.442 0.724 0.993
Si 0.493 0.224 0.942
Si 0.507 0.776 0.058
Si 0.558 0.276 0.007
Si 0.619 0.169 0.783
Si 0.653 0.653 0.653
Si 0.666 0.250 0.834
Si 0.669 0.119 0.283
Si 0.717 0.331 0.881
Si 0.719 0.719 0.719
Si 0.724 0.993 0.442
Si 0.750 0.166 0.334
Si 0.776 0.058 0.507
Si 0.781 0.781 0.781
Si 0.783 0.619 0.169
Si 0.831 0.217 0.381
Si 0.834 0.666 0.250
Si 0.847 0.847 0.847
Si 0.881 0.717 0.331
Si 0.942 0.493 0.224
Si 0.993 0.442 0.724
```

Computed properties:
density: 2.5 Mg/m³
final energy: -682.90 eV per cell
formation energy from raw total energies: -15.86 eV per formula unit

This record from the Alexandria database describes P2PtO7 at its PBEsol-relaxed geometry. The functional is meta-GGA SCAN. Values from VASP.

```
&SYSTEM
  ibrav = 0, nat = 40, ntyp = 3
/
ATOMIC_SPECIES
P 30.97 P.upf
Pt 195.08 Pt.upf
O 16.00 O.upf
CELL_PARAMETERS angstrom
7.119 0.000 0.000
0.000 7.923 0.000
-3.667 0.000 8.659
ATOMIC_POSITIONS crystal
P 0.068 0.180 0.320
P 0.068 0.320 0.820
P 0.344 0.748 0.207
P 0.344 0.752 0.707
P 0.656 0.248 0.293
P 0.656 0.252 0.793
P 0.932 0.680 0.180
P 0.932 0.820 0.680
Pt 0.000 0.000 0.000
Pt 0.000 0.500 0.500
Pt 0.500 0.000 0.500
Pt 0.500 0.500 0.000
O 0.057 0.187 0.153
O 0.057 0.313 0.653
O 0.122 0.139 0.881
O 0.122 0.361 0.381
O 0.150 0.631 0.180
O 0.150 0.869 0.680
O 0.200 0.038 0.421
O 0.200 0.462 0.921
O 0.278 0.599 0.599
O 0.278 0.901 0.099
O 0.443 0.713 0.880
O 0.443 0.787 0.380
O 0.500 0.138 0.324
O 0.500 0.362 0.824
O 0.500 0.638 0.176
O 0.500 0.862 0.676
O 0.557 0.213 0.620
O 0.557 0.287 0.120
O 0.722 0.099 0.901
O 0.722 0.401 0.401
O 0.800 0.538 0.079
O 0.800 0.962 0.579
O 0.850 0.131 0.320
O 0.850 0.369 0.820
O 0.878 0.639 0.619
O 0.878 0.861 0.119
O 0.943 0.687 0.347
O 0.943 0.813 0.847
```

Computed properties:
density: 5.0 Mg/m³
final energy: -612.11 eV per cell
formation energy from raw total energies: -18.42 eV per formula unit

This record from the Alexandria database describes MgTeAuN2 at its PBEsol-relaxed geometry. The functional is meta-GGA SCAN. Values from VASP.

```
&SYSTEM
  ibrav = 0, nat = 5, ntyp = 4
/
ATOMIC_SPECIES
Mg 24.30 Mg.upf
Te 127.60 Te.upf
Au 196.97 Au.upf
N 14.01 N.upf
CELL_PARAMETERS angstrom
4.066 0.000 0.000
0.000 4.066 0.000
0.000 0.000 5.815
ATOMIC_POSITIONS crystal
Mg 0.000 0.000 0.000
Te 0.500 0.500 0.000
Au 0.500 0.500 0.500
N 0.000 0.500 0.500
N 0.500 0.000 0.500
```

Computed properties:
density: 6.5 Mg/m³
final energy: -124.11 eV per cell
formation energy from raw total energies: 5.85 eV per formula unit

This record from the Alexandria database describes Si3MoF at its PBEsol-relaxed geometry. The functional is meta-GGA SCAN. Values from VASP.

```
&SYSTEM
  ibrav = 0, nat = 5, ntyp = 3
/
ATOMIC_SPECIES
Si 28.09 Si.upf
Mo 95.94 Mo.upf
F 19.00 F.upf
CELL_PARAMETERS angstrom
4.631 0.000 0.000
0.000 4.631 0.000
0.000 0.000 4.631
ATOMIC_POSITIONS crystal
Si 0.000 0.000 0.500
Si 0.000 0.500 0.000
Si 0.500 0.000 0.000
Mo 0.000 0.000 0.000
F 0.500 0.500 0.500
```

Computed properties:
density: 3.3 Mg/m³
final energy: -67.55 eV per cell
formation energy from raw total energies: 0.93 eV per formula unit

This record from the Alexandria database describes CoCu2W at its PBEsol-relaxed geometry. The functional is meta-GGA SCAN. Values from VASP.

```
&SYSTEM
  ibrav = 0, nat = 4, ntyp = 3
/
ATOMIC_SPECIES
Co 58.93 Co.upf
Cu 63.55 Cu.upf
W 183.84 W.upf
CELL_PARAMETERS angstrom
2.533 0.000 0.000
0.000 4.220 0.000
-0.879 0.000 4.562
ATOMIC_POSITIONS crystal
Co 0.000 0.000 0.000
Cu 0.177 0.500 0.762
Cu 0.823 0.500 0.238
W 0.500 0.000 0.500
```

Computed properties:
density: 12.6 Mg/m³
final energy: -116.05 eV per cell
polymorph energy (0 for the lowest one): 0.000 eV per atom

This record from the Alexandria database describes ZrNiSn at its PBEsol-relaxed geometry. The functional is meta-GGA SCAN. Values from VASP.

```
&SYSTEM
  ibrav = 0, nat = 3, ntyp = 3
/
ATOMIC_SPECIES
Zr 91.22 Zr.upf
Ni 58.69 Ni.upf
Sn 118.71 Sn.upf
CELL_PARAMETERS angstrom
0.000 3.034 3.034
3.034 0.000 3.034
3.034 3.034 0.000
ATOMIC_POSITIONS crystal
Zr 0.000 0.000 0.000
Ni 0.750 0.750 0.750
Sn 0.500 0.500 0.500
```

Computed properties:
density: 8.0 Mg/m³
final energy: -85.29 eV per cell

This record from the Alexandria database describes FeTeF3 at its PBEsol-relaxed geometry. The functional is meta-GGA SCAN. Values from VASP.

```
&SYSTEM
  ibrav = 0, nat = 5, ntyp = 3
/
ATOMIC_SPECIES
Fe 55.84 Fe.upf
Te 127.60 Te.upf
F 19.00 F.upf
CELL_PARAMETERS angstrom
4.154 0.000 0.000
0.000 4.154 0.000
0.000 0.000 4.154
ATOMIC_POSITIONS crystal
Fe 0.000 0.000 0.000
Te 0.500 0.500 0.500
F 0.000 0.000 0.500
F 0.000 0.500 0.000
F 0.500 0.000 0.000
```

Computed properties:
density: 5.6 Mg/m³
final energy: -72.86 eV per cell
formation energy from raw total energies: -6.86 eV per formula unit

This record from the Alexandria database describes PrRe2 at its PBEsol-relaxed geometry. The functional is meta-GGA SCAN. Values from VASP.

```
&SYSTEM
  ibrav = 0, nat = 6, ntyp = 2
/
ATOMIC_SPECIES
Pr 140.91 Pr.upf
Re 186.21 Re.upf
CELL_PARAMETERS angstrom
0.000 3.865 3.865
3.865 0.000 3.865
3.865 3.865 0.000
ATOMIC_POSITIONS crystal
Pr 0.125 0.125 0.125
Pr 0.875 0.875 0.875
Re 0.000 0.500 0.500
Re 0.500 0.000 0.500
Re 0.500 0.500 0.000
Re 0.500 0.500 0.500
```

Computed properties:
density: 14.8 Mg/m³
final energy: -370.77 eV per cell

This record from the Alexandria database describes TlIn2Re at its PBEsol-relaxed geometry. The functional is meta-GGA SCAN. Values from VASP.

```
&SYSTEM
  ibrav = 0, nat = 4, ntyp = 3
/
ATOMIC_SPECIES
Tl 204.38 Tl.upf
In 114.82 In.upf
Re 186.21 Re.upf
CELL_PARAMETERS angstrom
-1.830 2.392 4.583
1.830 -2.392 4.583
1.830 2.392 -4.583
ATOMIC_POSITIONS crystal
Tl 0.000 0.000 0.000
In 0.265 0.765 0.500
In 0.735 0.235 0.500
Re 0.500 0.500 0.000
```

Computed properties:
density: 12.8 Mg/m³
final energy: -207.06 eV per cell
polymorph energy (0 for the lowest one): 0.041 eV per atom

This record from the Alexandria database describes MnTe2P at its PBEsol-relaxed geometry. The functional is meta-GGA SCAN. Values from VASP.

```
&SYSTEM
  ibrav = 0, nat = 4, ntyp = 3
/
ATOMIC_SPECIES
Mn 54.94 Mn.upf
Te 127.60 Te.upf
P 30.97 P.upf
CELL_PARAMETERS angstrom
1.772 1.023 8.569
-1.772 1.023 8.569
0.000 -2.047 8.569
ATOMIC_POSITIONS crystal
Mn 0.000 0.000 0.000
Te 0.396 0.396 0.396
Te 0.604 0.604 0.604
P 0.500 0.500 0.500
```

Computed properties:
density: 6.1 Mg/m³
final energy: -102.04 eV per cell
formation energy from raw total energies: 1.12 eV per formula unit

This record from the Alexandria database describes BeAs2PtSe at its PBEsol-relaxed geometry. The functional is meta-GGA SCAN. Values from VASP.

```
&SYSTEM
  ibrav = 0, nat = 5, ntyp = 4
/
ATOMIC_SPECIES
Be 9.01 Be.upf
As 74.92 As.upf
Pt 195.08 Pt.upf
Se 78.96 Se.upf
CELL_PARAMETERS angstrom
4.319 0.000 0.000
0.000 4.319 0.000
0.000 0.000 4.446
ATOMIC_POSITIONS crystal
Be 0.000 0.000 0.000
As 0.000 0.500 0.000
As 0.500 0.000 0.000
Pt 0.500 0.500 0.500
Se 0.000 0.000 0.500
```

Computed properties:
density: 8.7 Mg/m³
final energy: -131.77 eV per cell
formation energy from raw total energies: 3.24 eV per formula unit

This record from the Alexandria database describes GaRuAu3 at its PBEsol-relaxed geometry. The functional is meta-GGA SCAN. Values from VASP.

```
&SYSTEM
  ibrav = 0, nat = 5, ntyp = 3
/
ATOMIC_SPECIES
Ga 69.72 Ga.upf
Ru 101.07 Ru.upf
Au 196.97 Au.upf
CELL_PARAMETERS angstrom
4.948 0.000 0.000
0.000 4.948 0.000
0.000 0.000 4.948
ATOMIC_POSITIONS crystal
Ga 0.000 0.000 0.000
Ru 0.500 0.500 0.500
Au 0.000 0.500 0.500
Au 0.500 0.000 0.500
Au 0.500 0.500 0.000
```

Computed properties:
density: 10.4 Mg/m³
final energy: -253.97 eV per cell

This record from the Alexandria database describes Be2InAgN at its PBEsol-relaxed geometry. The functional is meta-GGA SCAN. Values from VASP.

```
&SYSTEM
  ibrav = 0, nat = 5, ntyp = 4
/
ATOMIC_SPECIES
Be 9.01 Be.upf
In 114.82 In.upf
Ag 107.87 Ag.upf
N 14.01 N.upf
CELL_PARAMETERS angstrom
4.588 0.000 0.000
0.000 4.588 0.000
0.000 0.000 4.144
ATOMIC_POSITIONS crystal
Be 0.000 0.500 0.000
Be 0.500 0.000 0.000
In 0.000 0.000 0.000
Ag 0.500 0.500 0.500
N 0.000 0.000 0.500
```

Computed properties:
density: 4.8 Mg/m³
final energy: -74.62 eV per cell
formation energy from raw total energies: 8.13 eV per formula unit

This record from the Alexandria database describes Ta2AlCu at its PBEsol-relaxed geometry. The functional is meta-GGA SCAN. Values from VASP.

```
&SYSTEM
  ibrav = 0, nat = 4, ntyp = 3
/
ATOMIC_SPECIES
Ta 180.95 Ta.upf
Al 26.98 Al.upf
Cu 63.55 Cu.upf
CELL_PARAMETERS angstrom
2.812 0.000 0.000
0.000 2.812 0.000
0.000 0.000 7.791
ATOMIC_POSITIONS crystal
Ta 0.000 0.000 0.000
Ta 0.500 0.500 0.297
Al 0.000 0.000 0.558
Cu 0.500 0.500 0.759
```

Computed properties:
density: 12.2 Mg/m³
final energy: -156.70 eV per cell

This record from the Alexandria database describes HgAsSe2N at its PBEsol-relaxed geometry. The functional is meta-GGA SCAN. Values from VASP.

```
&SYSTEM
  ibrav = 0, nat = 5, ntyp = 4
/
ATOMIC_SPECIES
Hg 200.59 Hg.upf
As 74.92 As.upf
Se 78.96 Se.upf
N 14.01 N.upf
CELL_PARAMETERS angstrom
5.155 0.000 0.000
0.000 5.155 0.000
0.000 0.000 3.596
ATOMIC_POSITIONS crystal
Hg 0.000 0.000 0.000
As 0.500 0.500 0.500
Se 0.000 0.500 0.500
Se 0.500 0.000 0.500
N 0.500 0.500 0.000
```

Computed properties:
density: 7.8 Mg/m³
final energy: -133.91 eV per cell
polymorph energy (0 for the lowest one): 0.000 eV per atom
formation energy from raw total energies: 3.89 eV per formula unit

This record from the Alexandria database describes ZnNi3P4O14 at its PBEsol-relaxed geometry. The functional is meta-GGA SCAN. Values from VASP.

```
&SYSTEM
  ibrav = 0, nat = 44, ntyp = 4
/
ATOMIC_SPECIES
Zn 65.41 Zn.upf
Ni 58.69 Ni.upf
P 30.97 P.upf
O 16.00 O.upf
CELL_PARAMETERS angstrom
7.122 0.000 0.000
0.000 7.256 0.000
-3.762 0.000 8.712
ATOMIC_POSITIONS crystal
Zn 0.000 0.000 0.000
Zn 0.000 0.500 0.500
Ni 0.320 0.131 0.481
Ni 0.320 0.369 0.981
Ni 0.500 0.000 0.000
Ni 0.500 0.500 0.500
Ni 0.680 0.631 0.019
Ni 0.680 0.869 0.519
P 0.084 0.093 0.697
P 0.084 0.407 0.197
P 0.365 0.704 0.185
P 0.365 0.796 0.685
P 0.635 0.204 0.315
P 0.635 0.296 0.815
P 0.916 0.593 0.803
P 0.916 0.907 0.303
O 0.125 0.239 0.596
O 0.125 0.261 0.096
O 0.134 0.553 0.827
O 0.134 0.947 0.327
O 0.156 0.601 0.156
O 0.156 0.899 0.656
O 0.219 0.125 0.871
O 0.219 0.375 0.371
O 0.302 0.614 0.597
O 0.302 0.886 0.097
O 0.472 0.713 0.360
O 0.472 0.787 0.860
O 0.478 0.579 0.114
O 0.478 0.921 0.614
O 0.522 0.079 0.386
O 0.522 0.421 0.886
O 0.528 0.213 0.140
O 0.528 0.287 0.640
O 0.698 0.114 0.903
O 0.698 0.386 0.403
O 0.781 0.625 0.629
O 0.781 0.875 0.129
O 0.844 0.101 0.344
O 0.844 0.399 0.844
O 0.866 0.053 0.673
O 0.866 0.447 0.173
O 0.875 0.739 0.904
O 0.875 0.761 0.404
```

Computed properties:
density: 4.3 Mg/m³
final energy: -473.77 eV per cell
formation energy from raw total energies: -46.02 eV per formula unit

This record from the Alexandria database describes Ba2Na2Hg at its PBEsol-relaxed geometry. The functional is meta-GGA SCAN. Values from VASP.

```
&SYSTEM
  ibrav = 0, nat = 5, ntyp = 3
/
ATOMIC_SPECIES
Ba 137.33 Ba.upf
Na 22.99 Na.upf
Hg 200.59 Hg.upf
CELL_PARAMETERS angstrom
-2.150 2.150 10.769
2.150 -2.150 10.769
2.150 2.150 -10.769
ATOMIC_POSITIONS crystal
Ba 0.088 0.088 0.000
Ba 0.912 0.912 0.000
Na 0.250 0.750 0.500
Na 0.750 0.250 0.500
Hg 0.500 0.500 0.000
```

Computed properties:
density: 4.3 Mg/m³
final energy: -156.79 eV per cell

This record from the Alexandria database describes CdIn at its PBEsol-relaxed geometry. The functional is meta-GGA SCAN. Values from VASP.

```
&SYSTEM
  ibrav = 0, nat = 6, ntyp = 2
/
ATOMIC_SPECIES
Cd 112.41 Cd.upf
In 114.82 In.upf
CELL_PARAMETERS angstrom
5.868 -1.636 0.000
5.868 1.636 0.000
-2.164 0.000 7.291
ATOMIC_POSITIONS crystal
Cd 0.000 0.000 0.000
Cd 0.287 0.287 0.058
Cd 0.610 0.610 0.748
In 0.326 0.326 0.672
In 0.673 0.673 0.322
In 0.957 0.957 0.402
```

Computed properties:
density: 8.1 Mg/m³
final energy: -190.88 eV per cell

This record from the Alexandria database describes ZrSc2Al at its PBEsol-relaxed geometry. The functional is meta-GGA SCAN. Values from VASP.

```
&SYSTEM
  ibrav = 0, nat = 4, ntyp = 3
/
ATOMIC_SPECIES
Zr 91.22 Zr.upf
Sc 44.96 Sc.upf
Al 26.98 Al.upf
CELL_PARAMETERS angstrom
3.146 0.000 0.000
0.000 3.146 0.000
0.000 0.000 8.492
ATOMIC_POSITIONS crystal
Zr 0.000 0.000 0.000
Sc 0.000 0.000 0.455
Sc 0.500 0.500 0.739
Al 0.500 0.500 0.230
```

Computed properties:
density: 4.1 Mg/m³
final energy: -67.80 eV per cell

This record from the Alexandria database describes Li3Rh at its PBEsol-relaxed geometry. The functional is meta-GGA SCAN. Values from VASP.

```
&SYSTEM
  ibrav = 0, nat = 4, ntyp = 2
/
ATOMIC_SPECIES
Li 6.94 Li.upf
Rh 102.91 Rh.upf
CELL_PARAMETERS angstrom
-1.381 2.221 4.365
1.381 -2.221 4.365
1.381 2.221 -4.365
ATOMIC_POSITIONS crystal
Li 0.000 0.000 0.000
Li 0.253 0.753 0.500
Li 0.747 0.247 0.500
Rh 0.500 0.500 0.000
```

Computed properties:
density: 3.8 Mg/m³
final energy: -41.31 eV per cell